## AcZn3Ag9 (PBE)

Data for a geometry-optimized AcZn3Ag9 structure. Values from VASP.

Cell and atoms, written as Quantum ESPRESSO input:
```
&SYSTEM
  ibrav = 0, nat = 13, ntyp = 3
/
ATOMIC_SPECIES
Ac 227.00 Ac.upf
Zn 65.41 Zn.upf
Ag 107.87 Ag.upf
ATOMIC_POSITIONS crystal
Ac 0.0000 0.0000 0.0000
Zn 0.0000 0.5000 0.0000
Zn 0.5000 0.0000 0.0000
Zn 0.5000 0.5000 0.5000
Ag 0.0000 0.0000 0.5000
Ag 0.0317 0.6719 0.6545
Ag 0.2972 0.5209 0.7803
Ag 0.3281 0.9683 0.3455
Ag 0.4791 0.7028 0.2197
Ag 0.5209 0.2972 0.7803
Ag 0.6719 0.0317 0.6545
Ag 0.7028 0.4791 0.2197
Ag 0.9683 0.3281 0.3455
CELL_PARAMETERS angstrom
2.6928 -6.8293 0.0000
2.6928 6.8293 0.0000
-2.2597 0.0000 6.7426
```

## Properties
* E_tot: -2.709 eV per atom
* volume: 19.08 Å³/atom
* energy relative to the elements: -0.13 eV per atom